1.
VASP calculation (GGA-PBE) on crystalline LaCd3P at its relaxed geometry.

a b c (Å): 5.1482 5.1482 5.1482
angles (deg): 90.00 90.00 90.00
Positions (direct):
La: 0.5000 0.5000 0.5000
P: 0.0000 0.0000 0.0000
Cd: 0.0000 0.0000 0.5000
Cd: 0.0000 0.5000 0.0000
Cd: 0.5000 0.0000 0.0000

Computed properties:
Relative energy among the computed polymorphs in eV/atom: 0.000
Spin magnetization in μB/cell: 0.0
DOS(E_F) in states/eV/f.u.: 4.9

=====

2.
VASP calculation (GGA-PBE) on crystalline Sb2Au at its relaxed geometry.

a b c (Å): 6.0806 6.0806 10.9175
angles (deg): 90.00 90.00 120.00
Positions (direct):
Au: 0.6667 0.3333 0.4771
Sb: 0.1753 0.3506 0.7500
Sb: 0.8247 0.6494 0.2500
Au: 0.3333 0.6667 0.9771
Sb: 0.1753 0.8247 0.7500
Sb: 0.8247 0.1753 0.2500
Au: 0.6667 0.3333 0.0229
Sb: 0.0000 0.0000 0.5000
Sb: 0.3506 0.1753 0.2500
Sb: 0.6494 0.8247 0.7500
Au: 0.3333 0.6667 0.5229
Sb: 0.0000 0.0000 0.0000

Computed properties:
Spin magnetization in μB/cell: 0.0
Formation energy from raw total energies in eV/atom: 0.450
DOS(E_F) in states/eV/f.u.: 1.4

=====

> Among the records above, which one has the highest DOS(E_F)?

LaCd3P